The following is a PBE-GGA calculation of an optimized crystal structure of LuMgZrIr, from the Open Quantum Materials Database.

Output
Energy: -6.2082 eV per atom
Symmetry: F-43m (216)
Magnetic moment: 0.000 μB per formula unit

extended XYZ file:
```
16
Lattice="6.7540 0.0000 0.0000 0.0000 6.7540 0.0000 0.0000 0.0000 6.7540" Properties=species:S:1:pos:R:3 pbc="T T T"
Lu 0.0000 0.0000 0.0000
Lu 0.0000 3.3770 3.3770
Lu 3.3770 0.0000 3.3770
Lu 3.3770 3.3770 0.0000
Mg 1.6885 1.6885 5.0655
Mg 1.6885 5.0655 1.6885
Mg 5.0655 1.6885 1.6885
Mg 5.0655 5.0655 5.0655
Zr 1.6885 1.6885 1.6885
Zr 1.6885 5.0655 5.0655
Zr 5.0655 1.6885 5.0655
Zr 5.0655 5.0655 1.6885
Ir 0.0000 0.0000 3.3770
Ir 0.0000 3.3770 0.0000
Ir 3.3770 0.0000 0.0000
Ir 3.3770 3.3770 3.3770
```